[1]
Computed, not measured: crystalline Eu2ErTl at its relaxed geometry at the PBE level of DFT.

abc: 3.820 3.820 9.232
angles: 90.00 90.00 90.00
Space group P4/mmm (No. 123)
One atom of each set of equivalent atoms:
Eu 0.000 0.000 0.226 [2 per cell]
Er 0.500 0.500 0.500 [1 per cell]
Tl 0.500 0.500 0.000 [1 per cell]

## Properties
Energy of formation, eV per atom: -0.108
DOS at the Fermi energy, states/eV/cell: 4.8
Final energy, eV for the cell shown: -27.9


[2]
Computed, not measured: crystalline Eu2ErTl at its relaxed geometry at the PBE level of DFT.

abc: 4.915 4.915 5.189
angles: 90.00 90.00 90.00
Space group P4/mmm (No. 123)
One atom of each set of equivalent atoms:
Eu 0.000 0.500 0.000 [2 per cell]
Er 0.000 0.000 0.500 [1 per cell]
Tl 0.500 0.500 0.500 [1 per cell]

## Properties
Energy of formation, eV per atom: -0.136
DOS at the Fermi energy, states/eV/cell: 3.4
Final energy, eV for the cell shown: -28.0


[3]
Computed, not measured: crystalline EuErTmTl at its relaxed geometry at the PBE level of DFT.

abc: 7.823 7.823 7.823
angles: 90.00 90.00 90.00
Space group F-43m (No. 216)
One atom of each set of equivalent atoms:
Eu 0.000 0.000 0.000 [4 per cell]
Er 0.000 0.000 0.500 [4 per cell]
Tm 0.250 0.250 0.750 [4 per cell]
Tl 0.250 0.250 0.250 [4 per cell]

## Properties
Energy of formation, eV per atom: -0.019
DOS at the Fermi energy, states/eV/cell: 18.5
Final energy, eV for the cell shown: -87.0


[4]
Computed, not measured: crystalline EuErTm at its relaxed geometry at the PBE level of DFT.

abc: 3.604 3.604 15.324
angles: 90.00 90.00 90.00
Space group I4mm (No. 107)
One atom of each set of equivalent atoms:
Eu 0.000 0.000 0.000 [2 per cell]
Er 0.000 0.000 0.324 [2 per cell]
Tm 0.000 0.000 0.675 [2 per cell]

## Properties
Energy of formation, eV per atom: 0.073
DOS at the Fermi energy, states/eV/cell: 8.4
Final energy, eV for the cell shown: -38.2


[5]
Computed, not measured: crystalline Eu2ErTm at its relaxed geometry at the PBE level of DFT.

abc: 8.200 8.200 8.200
angles: 90.00 90.00 90.00
Space group Fm-3m (No. 225)
One atom of each set of equivalent atoms:
Eu 0.250 0.250 0.250 [8 per cell]
Er 0.000 0.000 0.000 [4 per cell]
Tm 0.000 0.000 0.500 [4 per cell]

## Properties
Energy of formation, eV per atom: 0.176
DOS at the Fermi energy, states/eV/cell: 21.4
Final energy, eV for the cell shown: -115.5


[6]
Computed, not measured: crystalline EuErTm at its relaxed geometry at the PBE level of DFT.

abc: 3.5973 3.5973 8.8171
angles: 90.00 90.00 120.00
Space group P3m1 (No. 156)
One atom of each set of equivalent atoms:
Eu 0.0000 0.0000 0.0000 [1 per cell]
Er 0.6667 0.3333 0.3468 [1 per cell]
Tm 0.3333 0.6667 0.6553 [1 per cell]

## Properties
Energy of formation, eV per atom: 0.069
DOS at the Fermi energy, states/eV/cell: 3.7
Final energy, eV for the cell shown: -19.1


[7]
Computed, not measured: crystalline Eu2ErTm at its relaxed geometry at the PBE level of DFT.

abc: 5.802 5.802 4.101
angles: 90.00 90.00 90.00
Space group P4/mmm (No. 123)
One atom of each set of equivalent atoms:
Eu 0.000 0.500 0.000 [2 per cell]
Er 0.000 0.000 0.500 [1 per cell]
Tm 0.500 0.500 0.500 [1 per cell]

## Properties
Energy of formation, eV per atom: 0.177
DOS at the Fermi energy, states/eV/cell: 5.7
Final energy, eV for the cell shown: -28.9


[8]
Computed, not measured: crystalline Eu2ErTm at its relaxed geometry at the PBE level of DFT.

abc: 3.5518 3.5518 38.3966
angles: 90.00 90.00 120.00
Space group R-3m (No. 166, hexagonal axes)
One atom of each set of equivalent atoms:
Eu 0.0000 0.0000 0.0877 [6 per cell]
Er 0.0000 0.0000 0.0000 [3 per cell]
Tm 0.0000 0.0000 0.5000 [3 per cell]

## Properties
Energy of formation, eV per atom: 0.249
DOS at the Fermi energy, states/eV/cell: 17.5
Final energy, eV for the cell shown: -85.8


[9]
Computed, not measured: crystalline EuYErTm at its relaxed geometry at the PBE level of DFT.

abc: 8.080 8.080 8.080
angles: 90.00 90.00 90.00
Space group F-43m (No. 216)
One atom of each set of equivalent atoms:
Eu 0.000 0.000 0.000 [4 per cell]
Y 0.250 0.250 0.750 [4 per cell]
Er 0.000 0.000 0.500 [4 per cell]
Tm 0.250 0.250 0.250 [4 per cell]

## Properties
Energy of formation, eV per atom: 0.166
DOS at the Fermi energy, states/eV/cell: 31.8
Final energy, eV for the cell shown: -100.4


[10]
Computed, not measured: crystalline EuYEr2 at its relaxed geometry at the PBE level of DFT.

abc: 5.072 5.072 5.073
angles: 90.00 90.00 90.00
Space group P4/mmm (No. 123)
One atom of each set of equivalent atoms:
Eu 0.000 0.000 0.000 [1 per cell]
Y 0.500 0.500 0.000 [1 per cell]
Er 0.000 0.500 0.500 [2 per cell]

## Properties
Energy of formation, eV per atom: 0.102
DOS at the Fermi energy, states/eV/cell: 6.4
Final energy, eV for the cell shown: -25.5


[11]
Computed, not measured: crystalline EuYEr2 at its relaxed geometry at the PBE level of DFT.

abc: 3.588 3.588 10.288
angles: 90.00 90.00 90.00
Space group P4/mmm (No. 123)
One atom of each set of equivalent atoms:
Eu 0.000 0.000 0.000 [1 per cell]
Y 0.000 0.000 0.500 [1 per cell]
Er 0.500 0.500 0.264 [2 per cell]

## Properties
Energy of formation, eV per atom: 0.069
DOS at the Fermi energy, states/eV/cell: 5.5
Final energy, eV for the cell shown: -25.6


[12]
Computed, not measured: crystalline EuYEr at its relaxed geometry at the PBE level of DFT.

abc: 3.6316 3.6316 8.8962
angles: 90.00 90.00 120.00
Space group P3m1 (No. 156)
One atom of each set of equivalent atoms:
Eu 0.0000 0.0000 0.0000 [1 per cell]
Y 0.3333 0.6667 0.6521 [1 per cell]
Er 0.6667 0.3333 0.3421 [1 per cell]

## Properties
Energy of formation, eV per atom: 0.061
DOS at the Fermi energy, states/eV/cell: 3.7
Final energy, eV for the cell shown: -21.1